Li2CePrMo4O16: optimized geometry, PBE+U.

```
data_Li2CePrMo4O16
_space_group_name_H-M_alt 'P -4'
_space_group_IT_number 81
_cell_length_a 5.301
_cell_length_b 5.301
_cell_length_c 11.573
_cell_angle_alpha 90.00
_cell_angle_beta 90.00
_cell_angle_gamma 90.00
loop_
_space_group_symop_operation_xyz
'x,y,z'
'y,-x,-z'
'-x,-y,z'
'-y,x,-z'
loop_
_atom_site_label
_atom_site_type_symbol
_atom_site_fract_x
_atom_site_fract_y
_atom_site_fract_z
_atom_site_occupancy
Li1 Li 0.000 0.500 0.213 1
Ce1 Ce 0.000 0.000 0.000 1
Pr1 Pr 0.500 0.500 0.500 1
Mo1 Mo 0.000 0.000 0.500 1
Mo2 Mo 0.000 0.500 0.753 1
Mo3 Mo 0.500 0.500 0.000 1
O1 O 0.155 0.258 0.840 1
O2 O 0.156 0.758 0.417 1
O3 O 0.238 0.648 0.667 1
O4 O 0.246 0.344 0.081 1
```

Output
As for the total energy: -172.75 eV per cell. As for the crystal system: tetragonal.